# PrHo5Tm12

Crystalline PrHo5Tm12 at its relaxed geometry (GGA-PBE, Alexandria).

POSCAR file:
```
PrHo5Tm12
1.0
-1.0457 4.3057 -4.2357
-5.5388 0.4820 -2.5779
-4.3627 9.3634 13.5589
Pr Ho Tm
1 5 12
direct
0.0000 0.0000 0.0000 Pr
0.5000 0.0000 0.5000 Ho
0.1665 0.6671 0.5000 Ho
0.8335 0.3329 0.5000 Ho
0.6667 0.6666 0.0000 Ho
0.3333 0.3334 0.0000 Ho
0.8892 0.0000 0.6671 Tm
0.1108 0.0000 0.3329 Tm
0.6092 0.0000 0.8311 Tm
0.3908 0.0000 0.1689 Tm
0.2786 0.6652 0.8311 Tm
0.0562 0.6652 0.1689 Tm
0.9438 0.3348 0.8311 Tm
0.7214 0.3348 0.1689 Tm
0.4444 0.3332 0.3332 Tm
0.7776 0.6668 0.3332 Tm
0.2224 0.3332 0.6668 Tm
0.5556 0.6668 0.6668 Tm
```

Properties
Crystal system: monoclinic

---

# TaGe3P

Crystalline TaGe3P at its relaxed geometry (GGA-PBE, Alexandria).

POSCAR file:
```
TaGe3P
1.0
5.0158 0.0000 0.0000
0.0000 5.0158 0.0000
0.0000 0.0000 5.0158
P Ge Ta
1 3 1
direct
0.5000 0.5000 0.5000 P
0.0000 0.5000 0.0000 Ge
0.0000 0.0000 0.5000 Ge
0.5000 0.0000 0.0000 Ge
0.0000 0.0000 0.0000 Ta
```

Properties
Excess energy over the best structure of this formula in the dataset in meV/atom: 0
Crystal system: cubic

---

no.,E_form (eV per atom),N(E_F) (states/eV/f.u.)
1,-0.001,23.87
2,0.915,5.79